Record 1
# PBE ReHg2Sb, relaxed
# formation energy (no corrections)	0.87	eV per atom
# electronic total energy	-0.25193	Ry per atom
# calculated volume	162.2	Å³ per cell
# crystal system	tetragonal
data_ReHg2Sb
_chemical_formula_sum 'Re2 Hg4 Sb2'
_cell_length_a 4.385
_cell_length_b 4.385
_cell_length_c 8.435
_cell_angle_alpha 90.00
_cell_angle_beta 90.00
_cell_angle_gamma 90.00
_symmetry_space_group_name_H-M 'I -4 m 2'
_symmetry_Int_Tables_number 119
_symmetry_space_group_name_Hall 'I -4 -2'
loop_
_atom_site_label
_atom_site_type_symbol
_atom_site_fract_x
_atom_site_fract_y
_atom_site_fract_z
Re1 Re 0.000 0.000 0.000
Hg1 Hg 0.000 0.000 0.500
Hg2 Hg 0.000 0.500 0.250
Sb1 Sb 0.000 0.500 0.750



Record 2
# PBE Na2GaIrO4, relaxed
# formation energy (no corrections)	-1.24	eV per atom
# electronic total energy	-0.40664	Ry per atom
# calculated volume	211.3	Å³ per cell
# crystal system	tetragonal
data_Na2GaIrO4
_chemical_formula_sum 'Na4 Ga2 Ir2 O8'
_cell_length_a 5.826
_cell_length_b 5.826
_cell_length_c 6.225
_cell_angle_alpha 90.00
_cell_angle_beta 90.00
_cell_angle_gamma 90.00
_symmetry_space_group_name_H-M 'I -4'
_symmetry_Int_Tables_number 82
loop_
_symmetry_equiv_pos_as_xyz
'x,y,z'
'y,-x,-z'
'-x,-y,z'
'-y,x,-z'
'x+1/2,y+1/2,z+1/2'
'y+1/2,-x+1/2,-z+1/2'
'-x+1/2,-y+1/2,z+1/2'
'-y+1/2,x+1/2,-z+1/2'
loop_
_atom_site_label
_atom_site_type_symbol
_atom_site_fract_x
_atom_site_fract_y
_atom_site_fract_z
Na1 Na 0.000 0.000 0.000
Na2 Na 0.000 0.500 0.250
Ga1 Ga 0.000 0.500 0.750
Ir1 Ir 0.000 0.000 0.500
O1 O 0.151 0.301 0.555



Record 3
# PBE Na2TaBe, relaxed
# ΔH_f (0 K)	1.4203	eV per atom
# electronic total energy	-0.23034	Ry per atom
# calculated volume	334.3	Å³ per cell
# crystal system	tetragonal
data_Na2TaBe
_chemical_formula_sum 'Na8 Ta4 Be4'
_cell_length_a 8.131
_cell_length_b 8.131
_cell_length_c 5.056
_cell_angle_alpha 90.00
_cell_angle_beta 90.00
_cell_angle_gamma 90.00
_symmetry_space_group_name_H-M 'I -4 2 d'
_symmetry_Int_Tables_number 122
_symmetry_space_group_name_Hall 'I -4 2bw'
loop_
_atom_site_label
_atom_site_type_symbol
_atom_site_fract_x
_atom_site_fract_y
_atom_site_fract_z
Na1 Na 0.199 0.250 0.125
Ta1 Ta 0.000 0.000 0.500
Be1 Be 0.000 0.000 0.000



> Which formula does entry 2 have?

Na2GaIrO4